Entry 1:
The following is a DFT calculation (PBE) of a relaxed structure of AlRuRh2.

Cell: 3.8426 3.8426 7.5931 Å, 90.00 90.00 90.00°
Space group I-4m2 (No. 119)
Asymmetric unit:
Al: 0.0000 0.0000 0.0000
Ru: 0.0000 0.5000 0.2500
Rh: 0.0000 0.0000 0.5000
Rh: 0.0000 0.5000 0.7500

***

Entry 2:
The following is a DFT calculation (PBE) of a relaxed structure of GaGe.

Cell: 5.7957 5.7957 5.7957 Å, 90.00 90.00 90.00°
Space group F-43m (No. 216)
Asymmetric unit:
Ga: 0.0000 0.0000 0.0000
Ge: 0.2500 0.2500 0.7500

***

Entry 3:
The following is a DFT calculation (PBE) of a relaxed structure of Pm4PrY4.

Cell: 6.2667 9.5892 10.8538 Å, 100.92 106.48 96.16°
Space group P-1 (No. 2)
Asymmetric unit:
Pm: 0.2486 0.4157 0.3599
Pm: 0.2497 0.0833 0.4719
Pm: 0.2498 0.7506 0.2491
Pm: 0.2501 0.7516 0.9171
Pr: 0.2511 0.4161 0.6954
Y: 0.2484 0.4162 0.0275
Y: 0.2496 0.0825 0.1379
Y: 0.2507 0.0819 0.8069
Y: 0.2526 0.7518 0.5843

***

Result set for D(E_F): 0.650; 0.356; 1.414 states/eV/atom, one per record in the order listed.
Result set for total DFT energy (no corrections): -7.30; -3.66; -5.50 eV per atom, one per record in the order listed.
Result set for E_form: -1.48; 0.32; 0.14 eV/f.u., one per record in the order listed.